[1]
# Pm4NdSm6 | Alexandria via LeMat-Bulk | PBE-GGA | relaxed
# DOS at the Fermi energy, states/eV per atom: 1.240
# Formation enthalpy at 0 K, eV per atom: 0.383
# ΔE to the lowest computed polymorph, meV per atom: 89
data_Pm4NdSm6
_space_group_name_H-M_alt 'I -4 2 m'
_space_group_IT_number 121
_space_group_name_Hall 'I -4 2'
_cell_length_a 7.697
_cell_length_b 7.697
_cell_length_c 13.424
_cell_angle_alpha 90.00
_cell_angle_beta 90.00
_cell_angle_gamma 90.00
loop_
_atom_site_label
_atom_site_type_symbol
_atom_site_fract_x
_atom_site_fract_y
_atom_site_fract_z
Pm1 Pm 0.171 0.171 0.421
Nd1 Nd 0.000 0.000 0.000
Sm1 Sm 0.000 0.500 0.000
Sm2 Sm 0.233 0.233 0.187

***

[2]
# CsCaTl2Ir | Alexandria via LeMat-Bulk | PBE-GGA | relaxed
# DOS at the Fermi energy, states/eV per atom: 0.588
# Formation enthalpy at 0 K, eV per atom: -0.068
data_CsCaTl2Ir
_space_group_name_H-M_alt 'P 4/m m m'
_space_group_IT_number 123
_space_group_name_Hall '-P 4 2'
_cell_length_a 5.445
_cell_length_b 5.445
_cell_length_c 5.565
_cell_angle_alpha 90.00
_cell_angle_beta 90.00
_cell_angle_gamma 90.00
loop_
_atom_site_label
_atom_site_type_symbol
_atom_site_fract_x
_atom_site_fract_y
_atom_site_fract_z
Cs1 Cs 0.000 0.000 0.000
Ca1 Ca 0.500 0.500 0.000
Tl1 Tl 0.000 0.500 0.500
Ir1 Ir 0.500 0.500 0.500

***

[3]
# SrCoC2 | Alexandria via LeMat-Bulk | PBE-GGA | relaxed
# DOS at the Fermi energy, states/eV per atom: 0.803
# Formation enthalpy at 0 K, eV per atom: 0.526
data_SrCoC2
_space_group_name_H-M_alt 'I 41/a m d'
_space_group_IT_number 141
_cell_length_a 4.473
_cell_length_b 4.473
_cell_length_c 11.500
_cell_angle_alpha 90.00
_cell_angle_beta 90.00
_cell_angle_gamma 90.00
loop_
_space_group_symop_operation_xyz
'x,y,z'
'-x,-y,-z'
'-y+1/4,x+3/4,z+1/4'
'y+1/4,-x+3/4,-z+1/4'
'-x+1/2,-y,z+1/2'
'x+1/2,y,-z+1/2'
'y+1/4,-x+1/4,z+3/4'
'-y+1/4,x+1/4,-z+3/4'
'x,-y,-z'
'-x,y,z'
'-y+1/4,-x+1/4,-z+3/4'
'y+1/4,x+1/4,z+3/4'
'-x+1/2,y,-z+1/2'
'x+1/2,-y,z+1/2'
'y+1/4,x+3/4,-z+1/4'
'-y+1/4,-x+3/4,z+1/4'
'x+1/2,y+1/2,z+1/2'
'-x+1/2,-y+1/2,-z+1/2'
'-y+3/4,x+1/4,z+3/4'
'y+3/4,-x+1/4,-z+3/4'
'-x,-y+1/2,z'
'x,y+1/2,-z'
'y+3/4,-x+3/4,z+1/4'
'-y+3/4,x+3/4,-z+1/4'
'x+1/2,-y+1/2,-z+1/2'
'-x+1/2,y+1/2,z+1/2'
'-y+3/4,-x+3/4,-z+1/4'
'y+3/4,x+3/4,z+1/4'
'-x,y+1/2,-z'
'x,-y+1/2,z'
'y+3/4,x+1/4,-z+3/4'
'-y+3/4,-x+1/4,z+3/4'
loop_
_atom_site_label
_atom_site_type_symbol
_atom_site_fract_x
_atom_site_fract_y
_atom_site_fract_z
Sr1 Sr 0.000 0.250 0.375
Co1 Co 0.000 0.250 0.875
C1 C 0.000 0.000 0.000